Below is YAgC2O6 after structural relaxation, with properties calculated at the PBE level. Values from VASP.

Results
Total magnetization, μB/f.u.: 0.00
N(E_F), states/eV per atom: 0.000
Raw formation energy, kJ per mole of atoms: -172.4

Quantum ESPRESSO input file:
```
&SYSTEM
  ibrav = 0, nat = 20, ntyp = 4
/
ATOMIC_SPECIES
O 16.00 O.upf
C 12.01 C.upf
Y 88.91 Y.upf
Ag 107.87 Ag.upf
ATOMIC_POSITIONS angstrom
O -2.226 2.788 -1.066
O -3.520 -0.250 -0.348
C -1.056 -0.501 -2.169
C -5.042 2.015 -3.727
O -5.661 -0.048 -0.787
Y -1.701 2.175 -3.176
Ag -0.589 -1.591 -5.293
Y -4.397 -0.661 -2.720
C -4.721 -0.058 0.130
O -2.092 -0.167 -2.903
O -0.436 1.562 -5.110
O -5.900 1.045 -3.902
O -4.100 -2.833 -2.177
O -0.198 0.469 -1.994
O -4.006 1.681 -2.993
O -1.998 4.347 -3.720
Ag -5.509 3.105 -0.603
O -3.872 -1.274 -4.830
O -2.578 1.764 -5.548
C -1.377 1.572 -6.026
CELL_PARAMETERS angstrom
-1.065 6.007 -2.047
1.111 -1.363 -6.190
-6.144 -3.130 2.341
```